# Tm2NpPaN4, relaxed, DFT PBE-GGA
# **E_form (uncorrected)**: -1.56 eV per atom
# **Crystal system**: monoclinic
# **Density of states at the Fermi level**: 8.487 states/eV per cell
data_Tm2NpPaN4
_chemical_formula_sum 'Tm2 Np1 Pa1 N4'
_cell_length_a 5.9436
_cell_length_b 3.4324
_cell_length_c 6.0010
_cell_angle_alpha 90.00
_cell_angle_beta 109.40
_cell_angle_gamma 90.00
_space_group_name_H-M_alt 'P 1 2/m 1'
_space_group_IT_number 10
loop_
_space_group_symop_operation_xyz
'x,y,z'
'-x,-y,-z'
'-x,y,-z'
'x,-y,z'
loop_
_atom_site_label
_atom_site_fract_x
_atom_site_fract_y
_atom_site_fract_z
Tm1 0.0000 0.0000 0.0000
Tm2 0.5000 0.5000 0.0000
Np1 0.0000 0.5000 0.5000
Pa1 0.5000 0.0000 0.5000
N1 0.2520 0.0000 0.7493
N2 0.2530 0.5000 0.2488



# NpUPa2N4, relaxed, DFT PBE-GGA
# **E_form (uncorrected)**: -1.43 eV per atom
# **Crystal system**: monoclinic
# **Density of states at the Fermi level**: 11.100 states/eV per cell
data_NpUPa2N4
_chemical_formula_sum 'Np1 U1 Pa2 N4'
_cell_length_a 5.9944
_cell_length_b 3.4793
_cell_length_c 6.0386
_cell_angle_alpha 90.00
_cell_angle_beta 109.54
_cell_angle_gamma 90.00
_space_group_name_H-M_alt 'P 1 2/m 1'
_space_group_IT_number 10
loop_
_space_group_symop_operation_xyz
'x,y,z'
'-x,-y,-z'
'-x,y,-z'
'x,-y,z'
loop_
_atom_site_label
_atom_site_fract_x
_atom_site_fract_y
_atom_site_fract_z
Np1 0.0000 0.0000 0.0000
U1 0.5000 0.5000 0.0000
Pa1 0.0000 0.5000 0.5000
Pa2 0.5000 0.0000 0.5000
N1 0.2530 0.5000 0.2488
N2 0.2549 0.0000 0.7535



# Np3U2PaN6, relaxed, DFT PBE-GGA
# **E_form (uncorrected)**: -1.27 eV per atom
# **Crystal system**: monoclinic
# **Density of states at the Fermi level**: 41.190 states/eV per cell
data_Np3U2PaN6
_chemical_formula_sum 'Np6 U4 Pa2 N12'
_cell_length_a 6.0010
_cell_length_b 10.3958
_cell_length_c 5.9480
_cell_angle_alpha 90.00
_cell_angle_beta 109.69
_cell_angle_gamma 90.00
_space_group_name_H-M_alt 'C 1 2/m 1'
_space_group_IT_number 12
loop_
_space_group_symop_operation_xyz
'x,y,z'
'-x,-y,-z'
'-x,y,-z'
'x,-y,z'
'x+1/2,y+1/2,z'
'-x+1/2,-y+1/2,-z'
'-x+1/2,y+1/2,-z'
'x+1/2,-y+1/2,z'
loop_
_atom_site_label
_atom_site_fract_x
_atom_site_fract_y
_atom_site_fract_z
Np1 0.0000 0.0000 0.0000
Np2 0.0000 0.3335 0.0000
U1 0.0000 0.1667 0.5000
Pa1 0.0000 0.5000 0.5000
N1 0.2445 0.0000 0.7450
N2 0.2496 0.1685 0.2544



# NpU2PaN4, relaxed, DFT PBE-GGA
# **E_form (uncorrected)**: -1.34 eV per atom
# **Crystal system**: monoclinic
# **Density of states at the Fermi level**: 13.014 states/eV per cell
data_NpU2PaN4
_chemical_formula_sum 'Np1 U2 Pa1 N4'
_cell_length_a 5.9789
_cell_length_b 3.4665
_cell_length_c 5.9911
_cell_angle_alpha 90.00
_cell_angle_beta 109.62
_cell_angle_gamma 90.00
_space_group_name_H-M_alt 'P 1 2/m 1'
_space_group_IT_number 10
loop_
_space_group_symop_operation_xyz
'x,y,z'
'-x,-y,-z'
'-x,y,-z'
'x,-y,z'
loop_
_atom_site_label
_atom_site_fract_x
_atom_site_fract_y
_atom_site_fract_z
Np1 0.0000 0.0000 0.0000
U1 0.5000 0.0000 0.5000
U2 0.5000 0.5000 0.0000
Pa1 0.0000 0.5000 0.5000
N1 0.2563 0.5000 0.2525
N2 0.2569 0.0000 0.7513



# Np2UPaN4, relaxed, DFT PBE-GGA
# **E_form (uncorrected)**: -1.30 eV per atom
# **Crystal system**: monoclinic
# **Density of states at the Fermi level**: 14.206 states/eV per cell
data_Np2UPaN4
_chemical_formula_sum 'Np2 U1 Pa1 N4'
_cell_length_a 5.9607
_cell_length_b 3.4670
_cell_length_c 6.0073
_cell_angle_alpha 90.00
_cell_angle_beta 109.53
_cell_angle_gamma 90.00
_space_group_name_H-M_alt 'P 1 2/m 1'
_space_group_IT_number 10
loop_
_space_group_symop_operation_xyz
'x,y,z'
'-x,-y,-z'
'-x,y,-z'
'x,-y,z'
loop_
_atom_site_label
_atom_site_fract_x
_atom_site_fract_y
_atom_site_fract_z
Np1 0.0000 0.0000 0.0000
Np2 0.0000 0.5000 0.5000
U1 0.5000 0.0000 0.5000
Pa1 0.5000 0.5000 0.0000
N1 0.2525 0.0000 0.7466
N2 0.2547 0.5000 0.2555



# NpU3Pa2N6, relaxed, DFT PBE-GGA
# **E_form (uncorrected)**: -1.38 eV per atom
# **Crystal system**: monoclinic
# **Density of states at the Fermi level**: 43.682 states/eV per cell
data_NpU3Pa2N6
_chemical_formula_sum 'Np2 U6 Pa4 N12'
_cell_length_a 15.1294
_cell_length_b 3.4632
_cell_length_c 6.9338
_cell_angle_alpha 90.00
_cell_angle_beta 103.68
_cell_angle_gamma 90.00
_space_group_name_H-M_alt 'C 1 2/m 1'
_space_group_IT_number 12
loop_
_space_group_symop_operation_xyz
'x,y,z'
'-x,-y,-z'
'-x,y,-z'
'x,-y,z'
'x+1/2,y+1/2,z'
'-x+1/2,-y+1/2,-z'
'-x+1/2,y+1/2,-z'
'x+1/2,-y+1/2,z'
loop_
_atom_site_label
_atom_site_fract_x
_atom_site_fract_y
_atom_site_fract_z
Np1 0.0000 0.0000 0.0000
U1 0.0000 0.0000 0.5000
U2 0.1656 0.5000 0.8342
Pa1 0.1659 0.5000 0.3312
N1 0.0011 0.5000 0.7443
N2 0.1651 0.0000 0.5860
N3 0.1690 0.0000 0.0810



# Y2NpPaN4, relaxed, DFT PBE-GGA
# **E_form (uncorrected)**: -1.52 eV per atom
# **Crystal system**: monoclinic
# **Density of states at the Fermi level**: 9.129 states/eV per cell
data_Y2NpPaN4
_chemical_formula_sum 'Y2 Np1 Pa1 N4'
_cell_length_a 6.0171
_cell_length_b 3.4774
_cell_length_c 6.0540
_cell_angle_alpha 90.00
_cell_angle_beta 109.53
_cell_angle_gamma 90.00
_space_group_name_H-M_alt 'P 1 2/m 1'
_space_group_IT_number 10
loop_
_space_group_symop_operation_xyz
'x,y,z'
'-x,-y,-z'
'-x,y,-z'
'x,-y,z'
loop_
_atom_site_label
_atom_site_fract_x
_atom_site_fract_y
_atom_site_fract_z
Y1 0.0000 0.0000 0.0000
Y2 0.5000 0.5000 0.0000
Np1 0.0000 0.5000 0.5000
Pa1 0.5000 0.0000 0.5000
N1 0.2485 0.0000 0.7389
N2 0.2572 0.5000 0.2594



# YNp2PaN4, relaxed, DFT PBE-GGA
# **E_form (uncorrected)**: -1.36 eV per atom
# **Crystal system**: monoclinic
# **Density of states at the Fermi level**: 15.043 states/eV per cell
data_YNp2PaN4
_chemical_formula_sum 'Y1 Np2 Pa1 N4'
_cell_length_a 6.0121
_cell_length_b 3.4689
_cell_length_c 6.0246
_cell_angle_alpha 90.00
_cell_angle_beta 109.46
_cell_angle_gamma 90.00
_space_group_name_H-M_alt 'P 1 2/m 1'
_space_group_IT_number 10
loop_
_space_group_symop_operation_xyz
'x,y,z'
'-x,-y,-z'
'-x,y,-z'
'x,-y,z'
loop_
_atom_site_label
_atom_site_fract_x
_atom_site_fract_y
_atom_site_fract_z
Y1 0.0000 0.0000 0.0000
Np1 0.0000 0.5000 0.5000
Np2 0.5000 0.0000 0.5000
Pa1 0.5000 0.5000 0.0000
N1 0.2528 0.0000 0.7527
N2 0.2565 0.5000 0.2553